(1)
{"formula": "HoEr2Rh", "functional": "GGA-PBE", "state": "optimized geometry", "formation_energy_ev_per_fu": -2.205, "e_above_lowest_polymorph_kj_per_mol_fu": 0, "spacegroup": "Pnma", "cell": [[7.124, 0.000, 0.000], [0.000, 9.336, 0.000], [0.000, 0.000, 6.275]], "species": ["Ho", "Ho", "Ho", "Ho", "Er", "Er", "Er", "Er", "Er", "Er", "Er", "Er", "Rh", "Rh", "Rh", "Rh"], "fractional_positions": [[0.034, 0.250, 0.134], [0.466, 0.750, 0.634], [0.534, 0.250, 0.366], [0.966, 0.750, 0.866], [0.178, 0.063, 0.672], [0.178, 0.437, 0.672], [0.322, 0.563, 0.172], [0.322, 0.937, 0.172], [0.678, 0.063, 0.828], [0.678, 0.437, 0.828], [0.822, 0.563, 0.328], [0.822, 0.937, 0.328], [0.116, 0.750, 0.446], [0.384, 0.250, 0.946], [0.616, 0.750, 0.054], [0.884, 0.250, 0.554]]}

(2)
{"formula": "HoEr4Rh5", "functional": "GGA-PBE", "state": "optimized geometry", "formation_energy_ev_per_fu": -9.252, "spacegroup": "P4/mmm", "cell": [[3.360, 0.000, 0.000], [0.000, 3.360, 0.000], [0.000, 0.000, 17.364]], "species": ["Ho", "Er", "Er", "Er", "Er", "Rh", "Rh", "Rh", "Rh", "Rh"], "fractional_positions": [[0.000, 0.000, 0.000], [0.000, 0.000, 0.200], [0.000, 0.000, 0.400], [0.000, 0.000, 0.600], [0.000, 0.000, 0.800], [0.500, 0.500, 0.101], [0.500, 0.500, 0.300], [0.500, 0.500, 0.500], [0.500, 0.500, 0.700], [0.500, 0.500, 0.899]]}

(3)
{"formula": "HoEr3Rh", "functional": "GGA-PBE", "state": "optimized geometry", "formation_energy_ev_per_fu": -1.545, "e_above_lowest_polymorph_kj_per_mol_fu": 47, "spacegroup": "Pmn2_1", "cell": [[7.489, 0.000, 0.000], [0.000, 6.459, 0.000], [0.000, 0.000, 6.076]], "species": ["Ho", "Ho", "Er", "Er", "Er", "Er", "Er", "Er", "Rh", "Rh"], "fractional_positions": [[0.000, 0.150, 0.000], [0.500, 0.850, 0.500], [0.000, 0.848, 0.487], [0.249, 0.312, 0.494], [0.251, 0.688, 0.994], [0.500, 0.152, 0.987], [0.749, 0.688, 0.994], [0.751, 0.312, 0.494], [0.000, 0.501, 0.744], [0.500, 0.499, 0.244]]}

(4)
{"formula": "Ho2Er3Rh2", "functional": "GGA-PBE", "state": "optimized geometry", "formation_energy_ev_per_fu": -4.255, "spacegroup": "C2/m", "cell": [[11.907, 0.000, 0.000], [0.000, 3.773, 0.000], [-3.908, 0.000, 7.921]], "species": ["Ho", "Ho", "Ho", "Ho", "Er", "Er", "Er", "Er", "Er", "Er", "Rh", "Rh", "Rh", "Rh"], "fractional_positions": [[0.166, 0.000, 0.308], [0.334, 0.500, 0.692], [0.666, 0.500, 0.308], [0.834, 0.000, 0.692], [0.000, 0.500, 0.500], [0.116, 0.500, 0.930], [0.384, 0.000, 0.070], [0.500, 0.000, 0.500], [0.616, 0.000, 0.930], [0.884, 0.500, 0.070], [0.177, 0.000, 0.740], [0.323, 0.500, 0.260], [0.677, 0.500, 0.740], [0.823, 0.000, 0.260]]}

(5)
{"formula": "Ho3ErRh2", "functional": "GGA-PBE", "state": "optimized geometry", "formation_energy_ev_per_fu": -3.557, "e_above_lowest_polymorph_kj_per_mol_fu": 49, "spacegroup": "Ibam", "cell": [[-3.330, 6.740, 3.520], [3.330, -6.740, 3.520], [3.330, 6.740, -3.520]], "species": ["Ho", "Ho", "Ho", "Ho", "Ho", "Ho", "Er", "Er", "Rh", "Rh", "Rh", "Rh"], "fractional_positions": [[0.019, 0.750, 0.269], [0.250, 0.250, 0.000], [0.481, 0.750, 0.731], [0.519, 0.250, 0.269], [0.750, 0.750, 0.000], [0.981, 0.250, 0.731], [0.000, 0.500, 0.500], [0.500, 0.000, 0.500], [0.138, 0.212, 0.350], [0.362, 0.712, 0.074], [0.638, 0.288, 0.926], [0.862, 0.788, 0.650]]}

(6)
{"formula": "HoEr2Rh2", "functional": "GGA-PBE", "state": "optimized geometry", "formation_energy_ev_per_fu": -3.305, "e_above_lowest_polymorph_kj_per_mol_fu": 0, "spacegroup": "Cmc2_1", "cell": [[1.958, -8.385, 0.000], [1.958, 8.385, 0.000], [0.000, 0.000, 7.202]], "species": ["Ho", "Ho", "Er", "Er", "Er", "Er", "Rh", "Rh", "Rh", "Rh"], "fractional_positions": [[0.122, 0.878, 0.500], [0.878, 0.122, 0.000], [0.311, 0.689, 0.385], [0.469, 0.531, 0.667], [0.531, 0.469, 0.167], [0.689, 0.311, 0.885], [0.054, 0.946, 0.868], [0.305, 0.695, 0.787], [0.695, 0.305, 0.287], [0.946, 0.054, 0.368]]}

(7)
{"formula": "HoEr3Rh8", "functional": "GGA-PBE", "state": "optimized geometry", "formation_energy_ev_per_fu": -8.861, "e_above_lowest_polymorph_kj_per_mol_fu": 28, "spacegroup": "P3m1", "cell": [[5.316, 0.000, 0.000], [-2.658, 4.604, 0.000], [0.000, 0.000, 8.689]], "species": ["Ho", "Er", "Er", "Er", "Rh", "Rh", "Rh", "Rh", "Rh", "Rh", "Rh", "Rh"], "fractional_positions": [[0.000, 0.000, 0.000], [0.000, 0.000, 0.367], [0.667, 0.333, 0.500], [0.667, 0.333, 0.867], [0.164, 0.328, 0.683], [0.164, 0.836, 0.683], [0.333, 0.667, 0.433], [0.333, 0.667, 0.933], [0.503, 0.005, 0.184], [0.503, 0.497, 0.184], [0.672, 0.836, 0.683], [0.995, 0.497, 0.184]]}

(8)
{"formula": "HoEr2Rh", "functional": "GGA-PBE", "state": "optimized geometry", "formation_energy_ev_per_fu": -1.394, "e_above_lowest_polymorph_kj_per_mol_fu": 78, "spacegroup": "R3m", "cell": [[3.783, 0.000, 0.000], [-1.892, 3.276, 0.000], [0.000, 0.000, 27.076]], "species": ["Ho", "Ho", "Ho", "Er", "Er", "Er", "Er", "Er", "Er", "Rh", "Rh", "Rh"], "fractional_positions": [[0.000, 0.000, 0.000], [0.333, 0.667, 0.667], [0.667, 0.333, 0.333], [0.000, 0.000, 0.559], [0.000, 0.000, 0.771], [0.333, 0.667, 0.225], [0.333, 0.667, 0.438], [0.667, 0.333, 0.105], [0.667, 0.333, 0.892], [0.000, 0.000, 0.165], [0.333, 0.667, 0.832], [0.667, 0.333, 0.498]]}

(9)
{"formula": "Ho2ErScRh4", "functional": "GGA-PBE", "state": "optimized geometry", "formation_energy_ev_per_fu": -7.457, "spacegroup": "R-3m", "cell": [[2.376, 1.372, 7.776], [-2.376, 1.372, 7.776], [0.000, -2.744, 7.776]], "species": ["Ho", "Ho", "Er", "Sc", "Rh", "Rh", "Rh", "Rh"], "fractional_positions": [[0.248, 0.248, 0.248], [0.752, 0.752, 0.752], [0.000, 0.000, 0.000], [0.500, 0.500, 0.500], [0.127, 0.127, 0.127], [0.377, 0.377, 0.377], [0.623, 0.623, 0.623], [0.873, 0.873, 0.873]]}

(10)
{"formula": "HoEr2Si2Rh5", "functional": "GGA-PBE", "state": "optimized geometry", "raw_formation_energy_mev_per_atom": -1024, "spacegroup": "P4/mbm", "cell": [[9.918, 0.000, 0.000], [0.000, 9.918, 0.000], [0.000, 0.000, 3.529]], "species": ["Ho", "Ho", "Er", "Er", "Er", "Er", "Si", "Si", "Si", "Si", "Rh", "Rh", "Rh", "Rh", "Rh", "Rh", "Rh", "Rh", "Rh", "Rh"], "fractional_positions": [[0.000, 0.000, 0.000], [0.500, 0.500, 0.000], [0.173, 0.327, 0.000], [0.327, 0.827, 0.000], [0.673, 0.173, 0.000], [0.827, 0.673, 0.000], [0.123, 0.623, 0.000], [0.377, 0.123, 0.000], [0.623, 0.877, 0.000], [0.877, 0.377, 0.000], [0.000, 0.500, 0.500], [0.070, 0.779, 0.500], [0.221, 0.070, 0.500], [0.279, 0.570, 0.500], [0.430, 0.279, 0.500], [0.500, 0.000, 0.500], [0.570, 0.721, 0.500], [0.721, 0.430, 0.500], [0.779, 0.930, 0.500], [0.930, 0.221, 0.500]]}

(11)
{"formula": "Ho2ErSi2Rh5", "functional": "GGA-PBE", "state": "optimized geometry", "raw_formation_energy_mev_per_atom": -1023, "spacegroup": "P4/mbm", "cell": [[9.934, 0.000, 0.000], [0.000, 9.934, 0.000], [0.000, 0.000, 3.527]], "species": ["Ho", "Ho", "Ho", "Ho", "Er", "Er", "Si", "Si", "Si", "Si", "Rh", "Rh", "Rh", "Rh", "Rh", "Rh", "Rh", "Rh", "Rh", "Rh"], "fractional_positions": [[0.174, 0.326, 0.000], [0.326, 0.826, 0.000], [0.674, 0.174, 0.000], [0.826, 0.674, 0.000], [0.000, 0.000, 0.000], [0.500, 0.500, 0.000], [0.123, 0.623, 0.000], [0.377, 0.123, 0.000], [0.623, 0.877, 0.000], [0.877, 0.377, 0.000], [0.000, 0.500, 0.500], [0.070, 0.779, 0.500], [0.221, 0.070, 0.500], [0.279, 0.570, 0.500], [0.430, 0.279, 0.500], [0.500, 0.000, 0.500], [0.570, 0.721, 0.500], [0.721, 0.430, 0.500], [0.779, 0.930, 0.500], [0.930, 0.221, 0.500]]}

(12)
{"formula": "HoErSnRh", "functional": "GGA-PBE", "state": "optimized geometry", "formation_energy_ev_per_fu": -2.682, "spacegroup": "F-43m", "cell": [[7.165, 0.000, 0.000], [0.000, 7.165, 0.000], [0.000, 0.000, 7.165]], "species": ["Ho", "Ho", "Ho", "Ho", "Er", "Er", "Er", "Er", "Sn", "Sn", "Sn", "Sn", "Rh", "Rh", "Rh", "Rh"], "fractional_positions": [[0.000, 0.000, 0.000], [0.000, 0.500, 0.500], [0.500, 0.000, 0.500], [0.500, 0.500, 0.000], [0.000, 0.000, 0.500], [0.000, 0.500, 0.000], [0.500, 0.000, 0.000], [0.500, 0.500, 0.500], [0.250, 0.250, 0.250], [0.250, 0.750, 0.750], [0.750, 0.250, 0.750], [0.750, 0.750, 0.250], [0.250, 0.250, 0.750], [0.250, 0.750, 0.250], [0.750, 0.250, 0.250], [0.750, 0.750, 0.750]]}